No. 1
# Ac2Ge3Au6

A relaxed structure of Ac2Ge3Au6 (GGA-PBE, Alexandria via LeMat-Bulk). Values from VASP.

```
&SYSTEM
  ibrav = 0, nat = 11, ntyp = 3
/
ATOMIC_SPECIES
Ac 227.00 Ac.upf
Ge 72.64 Ge.upf
Au 196.97 Au.upf
CELL_PARAMETERS angstrom
7.983 0.000 0.000
-3.992 6.914 0.000
0.000 0.000 4.572
ATOMIC_POSITIONS crystal
Ac 0.333 0.667 0.000
Ac 0.667 0.333 0.000
Ge 0.000 0.653 0.500
Ge 0.347 0.347 0.500
Ge 0.653 0.000 0.500
Au 0.000 0.328 0.500
Au 0.000 0.795 0.000
Au 0.205 0.205 0.000
Au 0.328 0.000 0.500
Au 0.672 0.672 0.500
Au 0.795 0.000 0.000
```

Summary:
energy: -4.327 eV per atom
magnetic moment: 0.0 μB/cell

=====

No. 2
# Ac5Ge2Au2

A relaxed structure of Ac5Ge2Au2 (GGA-PBE, Alexandria via LeMat-Bulk). Values from VASP.

```
&SYSTEM
  ibrav = 0, nat = 18, ntyp = 3
/
ATOMIC_SPECIES
Ac 227.00 Ac.upf
Ge 72.64 Ge.upf
Au 196.97 Au.upf
CELL_PARAMETERS angstrom
8.260 -4.200 0.000
8.260 4.200 0.000
0.000 0.000 8.476
ATOMIC_POSITIONS crystal
Ac 0.000 0.000 0.000
Ac 0.026 0.690 0.662
Ac 0.190 0.526 0.162
Ac 0.310 0.974 0.662
Ac 0.474 0.810 0.162
Ac 0.500 0.500 0.500
Ac 0.526 0.190 0.838
Ac 0.690 0.026 0.338
Ac 0.810 0.474 0.838
Ac 0.974 0.310 0.338
Ge 0.201 0.201 0.000
Ge 0.299 0.299 0.500
Ge 0.701 0.701 0.500
Ge 0.799 0.799 0.000
Au 0.129 0.871 0.370
Au 0.371 0.629 0.870
Au 0.629 0.371 0.130
Au 0.871 0.129 0.630
```

Summary:
energy above the lowest structure with this stoichiometry: 12 meV/atom
magnetic moment: 0.0 μB/cell

=====

No. 3
# Ac5Ge5Au2

A relaxed structure of Ac5Ge5Au2 (GGA-PBE, Alexandria via LeMat-Bulk). Values from VASP.

```
&SYSTEM
  ibrav = 0, nat = 12, ntyp = 3
/
ATOMIC_SPECIES
Ac 227.00 Ac.upf
Ge 72.64 Ge.upf
Au 196.97 Au.upf
CELL_PARAMETERS angstrom
8.155 -2.261 0.000
8.155 2.261 0.000
-8.110 0.000 9.355
ATOMIC_POSITIONS crystal
Ac 0.000 0.000 0.000
Ac 0.312 0.312 0.416
Ac 0.376 0.376 0.181
Ac 0.624 0.624 0.819
Ac 0.688 0.688 0.584
Ge 0.000 0.000 0.500
Ge 0.066 0.066 0.327
Ge 0.298 0.298 0.865
Ge 0.702 0.702 0.135
Ge 0.934 0.934 0.673
Au 0.386 0.386 0.741
Au 0.614 0.614 0.259
```

Summary:
energy: -4.891 eV per atom
magnetic moment: 0.0 μB/cell